An optimized crystal structure of Ce4Dy3YSe8, computed with PBE.

a = 8.231 Å, b = 8.335 Å, c = 8.232 Å
α = 119.59°, β = 120.00°, γ = 90.00°
Atoms (fractional coordinates):
Ce (0.000, 0.000, 0.000)
Se (0.754, 0.262, 0.507)
Se (0.746, 0.738, 0.992)
Se (0.254, 0.262, 0.008)
Dy (0.500, 0.500, 0.000)
Ce (0.500, 0.000, 0.500)
Dy (0.000, 0.500, 0.500)
Se (0.254, 0.262, 0.508)
Ce (0.000, 0.000, 0.500)
Se (0.246, 0.738, 0.992)
Se (0.754, 0.262, 0.008)
Dy (0.500, 0.500, 0.500)
Se (0.746, 0.738, 0.492)
Ce (0.500, 0.000, 0.000)
Se (0.246, 0.738, 0.493)
Y (0.000, 0.500, 0.000)

Results
E_form (uncorrected)   -174 kJ/mol of atoms
E   -6.292 eV/atom
Volume   25.1 Å³ per atom
Density of states at the Fermi level   25.3 states/eV/f.u.
Total moment   0.251 μB/atom